VASP calculation (PBE-GGA) on an optimized crystal structure of TbY2HgN.

abc: 4.811 4.811 4.835
angles: 90.00 90.00 90.00
Space group P4/mmm (No. 123)
Symmetry-distinct sites (fractional):
Tb (0.000, 0.000, 0.000) x1
Y (0.000, 0.500, 0.500) x2
Hg (0.500, 0.500, 0.000) x1
N (0.000, 0.000, 0.500) x1

Values from the calculation:
Total magnetic moment   0.0 Bohr magnetons per cell
Total energy   -6.17 eV/atom
E_form (uncorrected)   -929 meV per atom
V   111.92 Å³/cell

VASP calculation (PBE-GGA) on an optimized crystal structure of SiAgAs2.

abc: 3.407 3.650 12.526
angles: 90.00 90.00 90.00
Space group Imm2 (No. 44)
Symmetry-distinct sites (fractional):
Si (0.000, 0.000, 0.000) x2
Ag (0.000, 0.500, 0.256) x2
As (0.000, 0.000, 0.431) x2
As (0.000, 0.500, 0.651) x2

Values from the calculation:
Total magnetic moment   0.0 Bohr magnetons per cell
Total energy   -4.10 eV/atom
E_form (uncorrected)   296 meV per atom
V   155.78 Å³/cell

VASP calculation (PBE-GGA) on an optimized crystal structure of Ac2PaReN6.

abc: 4.193 4.193 8.598
angles: 90.00 90.00 90.00
Space group P4/mmm (No. 123)
Symmetry-distinct sites (fractional):
Ac (0.000, 0.000, 0.223) x2
Pa (0.500, 0.500, 0.500) x1
Re (0.500, 0.500, 0.000) x1
N (0.000, 0.500, 0.000) x2
N (0.000, 0.500, 0.500) x2
N (0.500, 0.500, 0.226) x2

Values from the calculation:
Total magnetic moment   0.0 Bohr magnetons per cell
Total energy   -8.90 eV/atom
E_form (uncorrected)   -886 meV per atom
V   151.17 Å³/cell